The following is a PBE-GGA calculation of crystalline InSe3N at its relaxed geometry, from the Alexandria database.

abc: 5.3841 5.3841 5.3841
angles: 90.00 90.00 90.00
Closest atoms and distances in Å follow each position.
Fractional positions:
N 0.5000 0.5000 0.5000  12 Se 3.81
Se 0.0000 0.5000 0.0000  2 In 2.69
Se 0.0000 0.0000 0.5000  2 In 2.69
Se 0.5000 0.0000 0.0000  2 In 2.69
In 0.0000 0.0000 0.0000  6 Se 2.69

V (Å³/cell): 156.1
ΔE to the lowest computed polymorph (meV/atom): 751
Fermi-level density of states (states/eV per cell): 4.30
E_form (uncorrected) (meV per atom): 1457
SG: Pm-3m, No. 221